[1]
This record from Alexandria describes a relaxed structure of KAg2N. The functional is GGA-PBE.

The uncorrected formation energy is 28.1 kcal/mol of atoms. The value obtained for the volume is 18.67 A^3/atom. The size of the total moment comes out at 0.0 μB/f.u. The energy above the most stable polymorph in this dataset is 879.7 meV/atom.

The structure belongs to space group Fm-3m (No. 225); the cell edges are 6.6842, 6.6842 and 6.6842 Å and the angles 90.00°, 90.00° and 90.00°. The inequivalent atoms are K at (0.0000, 0.0000, 0.0000), Ag at (0.2500, 0.2500, 0.2500) and N at (0.0000, 0.0000, 0.5000).

[2]
This record from Alexandria describes a relaxed structure of KAg3N. The functional is GGA-PBE.

The uncorrected formation energy is 53.7 kcal/mol of atoms. The value obtained for the volume is 33.39 A^3/atom. The size of the total moment comes out at 0.0 μB/f.u. The energy above the most stable polymorph in this dataset is 1792.9 meV/atom.

The structure belongs to space group Pm-3m (No. 221); the cell edges are 5.5061, 5.5061 and 5.5061 Å and the angles 90.00°, 90.00° and 90.00°. The inequivalent atoms are K at (0.0000, 0.0000, 0.0000), Ag at (0.0000, 0.0000, 0.5000) and N at (0.5000, 0.5000, 0.5000).

Question: Which value of size of the total moment does entry 1 give?
Answer: 0.0 μB/f.u.

Question: What is the formula in the second record?
Answer: KAg3N